1.
The following is a PBE calculation of crystalline Pm3Nd6SmTm2 at its relaxed geometry, from the Alexandria database.

The space group is C2/m (No. 12) and the conventional cell measures 6.311, 10.932 and 12.007 Å, with angles of 90.00, 100.09 and 90.00 degrees. The inequivalent atoms are Pm at (0.000, 0.000, 0.000), Pm at (0.000, 0.333, 0.000), Nd at (0.248, 0.000, 0.747), Nd at (0.250, 0.167, 0.253), Sm at (0.000, 0.500, 0.500) and Tm at (0.000, 0.167, 0.500).

***

2.
The following is a PBE calculation of crystalline Pm5NdSm2Tm at its relaxed geometry, from the Alexandria database.

The space group is I4/mcm (No. 140) and the conventional cell measures 8.882, 8.882 and 15.668 Å, with angles of 90.00, 90.00 and 90.00 degrees. The inequivalent atoms are Pm at (0.000, 0.000, 0.000), Pm at (0.209, 0.291, 0.138), Nd at (0.000, 0.000, 0.250), Sm at (0.116, 0.384, 0.500) and Tm at (0.000, 0.500, 0.250).

***

Number 1: formation energy 0.02 eV/atom, total magnetic moment 0.0 μB per formula unit. Number 2: formation energy 0.28 eV/atom, total magnetic moment 0.0 μB per formula unit.